# 1
## KNi2Pb (PBE-GGA)

Data for an optimized crystal structure of KNi2Pb.

The structure in CIF format:
```
data_KNi2Pb
_cell_length_a 3.281
_cell_length_b 3.281
_cell_length_c 8.066
_cell_angle_alpha 90.00
_cell_angle_beta 90.00
_cell_angle_gamma 90.00
_space_group_name_H-M_alt 'P 4 m m'
_space_group_IT_number 99
loop_
_space_group_symop_operation_xyz
'x,y,z'
'-y,x,z'
'-x,-y,z'
'y,-x,z'
'-x,y,z'
'y,x,z'
'x,-y,z'
'-y,-x,z'
loop_
_atom_site_label
_atom_site_type_symbol
_atom_site_fract_x
_atom_site_fract_y
_atom_site_fract_z
K1 K 0.000 0.000 0.000
Ni1 Ni 0.000 0.000 0.399
Ni2 Ni 0.500 0.500 0.305
Pb1 Pb 0.500 0.500 0.628
```

## Properties
M_tot = 0.017 μB per atom
formation enthalpy at 0 K = 1.22 eV/f.u.
VASP energy = -3.787 eV/atom

# 2
## TbNi2As (PBE-GGA)

Data for an optimized crystal structure of TbNi2As.

The structure in CIF format:
```
data_TbNi2As
_cell_length_a 3.829
_cell_length_b 3.829
_cell_length_c 9.079
_cell_angle_alpha 90.00
_cell_angle_beta 90.00
_cell_angle_gamma 90.00
_space_group_name_H-M_alt 'P 4/n m m'
_space_group_IT_number 129
loop_
_space_group_symop_operation_xyz
'x,y,z'
'-x,-y,-z'
'-y+1/2,x,z'
'y+1/2,-x,-z'
'-x+1/2,-y+1/2,z'
'x+1/2,y+1/2,-z'
'y,-x+1/2,z'
'-y,x+1/2,-z'
'x+1/2,-y,-z'
'-x+1/2,y,z'
'-y,-x,-z'
'y,x,z'
'-x,y+1/2,-z'
'x,-y+1/2,z'
'y+1/2,x+1/2,-z'
'-y+1/2,-x+1/2,z'
loop_
_atom_site_label
_atom_site_type_symbol
_atom_site_fract_x
_atom_site_fract_y
_atom_site_fract_z
Tb1 Tb 0.250 0.250 0.219
Ni1 Ni 0.250 0.250 0.920
Ni2 Ni 0.250 0.750 0.500
As1 As 0.250 0.250 0.655
```

## Properties
M_tot = 0.000 μB per atom
formation enthalpy at 0 K = -2.36 eV/f.u.
VASP energy = -5.802 eV/atom

# 3
## Ga2Sb5Pd12 (PBE-GGA)

Data for an optimized crystal structure of Ga2Sb5Pd12.

The structure in CIF format:
```
data_Ga2Sb5Pd12
_cell_length_a 15.608
_cell_length_b 5.723
_cell_length_c 8.669
_cell_angle_alpha 90.00
_cell_angle_beta 107.72
_cell_angle_gamma 90.00
_space_group_name_H-M_alt 'C 1 2/m 1'
_space_group_IT_number 12
loop_
_space_group_symop_operation_xyz
'x,y,z'
'-x,-y,-z'
'-x,y,-z'
'x,-y,z'
'x+1/2,y+1/2,z'
'-x+1/2,-y+1/2,-z'
'-x+1/2,y+1/2,-z'
'x+1/2,-y+1/2,z'
loop_
_atom_site_label
_atom_site_type_symbol
_atom_site_fract_x
_atom_site_fract_y
_atom_site_fract_z
Ga1 Ga 0.000 0.243 0.000
Sb1 Sb 0.000 0.000 0.500
Sb2 Sb 0.155 0.500 0.836
Sb3 Sb 0.204 0.500 0.359
Pd1 Pd 0.022 0.500 0.262
Pd2 Pd 0.077 0.000 0.255
Pd3 Pd 0.146 0.253 0.571
Pd4 Pd 0.187 0.241 0.100
```

## Properties
M_tot = 0.000 μB per atom
ΔE_f (raw) = -0.327 eV per atom
VASP energy = -5.010 eV/atom

# 4
## Tb3PmPr2S6 (PBE-GGA)

Data for an optimized crystal structure of Tb3PmPr2S6.

The structure in CIF format:
```
data_Tb3PmPr2S6
_cell_length_a 17.504
_cell_length_b 3.974
_cell_length_c 8.085
_cell_angle_alpha 90.00
_cell_angle_beta 104.24
_cell_angle_gamma 90.00
_space_group_name_H-M_alt 'C 1 2/m 1'
_space_group_IT_number 12
loop_
_space_group_symop_operation_xyz
'x,y,z'
'-x,-y,-z'
'-x,y,-z'
'x,-y,z'
'x+1/2,y+1/2,z'
'-x+1/2,-y+1/2,-z'
'-x+1/2,y+1/2,-z'
'x+1/2,-y+1/2,z'
loop_
_atom_site_label
_atom_site_type_symbol
_atom_site_fract_x
_atom_site_fract_y
_atom_site_fract_z
Tb1 Tb 0.000 0.000 0.000
Tb2 Tb 0.167 0.500 0.333
Pm1 Pm 0.000 0.000 0.500
Pr1 Pr 0.167 0.500 0.834
S1 S 0.004 0.500 0.245
S2 S 0.163 0.000 0.093
S3 S 0.169 0.000 0.573
```

## Properties
M_tot = 0.000 μB per atom
ΔE_f (raw) = -2.021 eV per atom
VASP energy = -6.434 eV/atom

# 5
## ZnIn2Co (PBE-GGA)

Data for an optimized crystal structure of ZnIn2Co.

The structure in CIF format:
```
data_ZnIn2Co
_cell_length_a 4.179
_cell_length_b 4.179
_cell_length_c 7.887
_cell_angle_alpha 90.00
_cell_angle_beta 90.00
_cell_angle_gamma 90.00
_space_group_name_H-M_alt 'I 4/m m m'
_space_group_IT_number 139
_space_group_name_Hall '-I 4 2'
loop_
_atom_site_label
_atom_site_type_symbol
_atom_site_fract_x
_atom_site_fract_y
_atom_site_fract_z
Zn1 Zn 0.000 0.000 0.000
In1 In 0.000 0.500 0.250
Co1 Co 0.000 0.000 0.500
```

## Properties
M_tot = 0.000 μB per atom
formation enthalpy at 0 K = 0.87 eV/f.u.
VASP energy = -3.246 eV/atom